Computed, not measured: a geometry-optimized AcPr2Nd4 structure at the PBE level of DFT.

The structure in CIF format:
```
data_AcPr2Nd4
_chemical_formula_sum 'Ac2 Pr4 Nd8'
_symmetry_space_group_name_H-M 'P 42/m n m'
_symmetry_Int_Tables_number 136
_symmetry_space_group_name_Hall '-P 4n 2n'
_cell_length_a 9.5379
_cell_length_b 9.5379
_cell_length_c 5.9375
_cell_angle_alpha 90.00
_cell_angle_beta 90.00
_cell_angle_gamma 90.00
loop_
_atom_site_label
_atom_site_type_symbol
_atom_site_fract_x
_atom_site_fract_y
_atom_site_fract_z
Ac1 Ac 0.0000 0.0000 0.0000
Pr1 Pr 0.1955 0.1955 0.5000
Nd1 Nd 0.1155 0.3754 0.0000
```

## Properties
Formation energy (eV per formula unit): 1.4
Size of the total moment (μB per formula unit): 0.00

Computed, not measured: a geometry-optimized Ac2Pr12Nd5 structure at the PBE level of DFT.

The structure in CIF format:
```
data_Ac2Pr12Nd5
_chemical_formula_sum 'Ac4 Pr24 Nd10'
_symmetry_space_group_name_H-M 'C 1 2/m 1'
_symmetry_Int_Tables_number 12
_symmetry_space_group_name_Hall '-C 2y'
_cell_length_a 18.7019
_cell_length_b 12.0356
_cell_length_c 6.4263
_cell_angle_alpha 90.00
_cell_angle_beta 103.56
_cell_angle_gamma 90.00
loop_
_atom_site_label
_atom_site_type_symbol
_atom_site_fract_x
_atom_site_fract_y
_atom_site_fract_z
Ac1 Ac 0.0000 0.2218 0.0000
Pr1 Pr 0.0580 0.5000 0.2808
Pr2 Pr 0.1032 0.2519 0.6055
Pr3 Pr 0.1299 0.0000 0.9853
Pr4 Pr 0.2031 0.2560 0.2044
Nd1 Nd 0.0000 0.0000 0.5000
Nd2 Nd 0.1723 0.5000 0.8555
Nd3 Nd 0.2143 0.0000 0.5391
```

## Properties
Formation energy (eV per formula unit): 1.8
Size of the total moment (μB per formula unit): 0.00

Computed, not measured: a geometry-optimized Ac5Pr3Nd structure at the PBE level of DFT.

The structure in CIF format:
```
data_Ac5Pr3Nd
_chemical_formula_sum 'Ac20 Pr12 Nd4'
_symmetry_space_group_name_H-M 'C 1 2/m 1'
_symmetry_Int_Tables_number 12
_symmetry_space_group_name_Hall '-C 2y'
_cell_length_a 16.2112
_cell_length_b 12.6837
_cell_length_c 10.5344
_cell_angle_alpha 90.00
_cell_angle_beta 129.85
_cell_angle_gamma 90.00
loop_
_atom_site_label
_atom_site_type_symbol
_atom_site_fract_x
_atom_site_fract_y
_atom_site_fract_z
Ac1 Ac 0.0000 0.2468 0.0000
Ac2 Ac 0.1375 0.2449 0.7434
Ac3 Ac 0.2327 0.0000 0.2305
Ac4 Ac 0.2472 0.5000 0.4048
Pr1 Pr 0.0000 0.0000 0.5000
Pr2 Pr 0.0000 0.5000 0.0000
Pr3 Pr 0.0031 0.0000 0.8190
Pr4 Pr 0.0077 0.5000 0.3429
Nd1 Nd 0.2266 0.5000 0.0516
```

## Properties
Formation energy (eV per formula unit): 3.5
Size of the total moment (μB per formula unit): 0.00